No. 1
# Y2AlZn2

Y2AlZn2 after structural relaxation (PBE-GGA, the Alexandria database).

The space group is I4/mmm (No. 139) and the conventional cell measures 3.554, 3.554 and 18.455 Å, with angles of 90.00, 90.00 and 90.00 degrees. The inequivalent atoms are Y at (0.000, 0.000, 0.104), Al at (0.000, 0.000, 0.500) and Zn at (0.000, 0.500, 0.250).

As for the total energy: -3.99 eV/atom. The crystal system is tetragonal. The formation enthalpy at 0 K comes out at -0.15 eV per atom.



No. 2
# YAl2Zn2

YAl2Zn2 after structural relaxation (PBE-GGA, the Alexandria database).

The space group is P4/mbm (No. 127) and the conventional cell measures 7.668, 7.668 and 3.214 Å, with angles of 90.00, 90.00 and 90.00 degrees. The inequivalent atoms are Y at (0.000, 0.000, 0.000), Al at (0.177, 0.323, 0.500) and Zn at (0.121, 0.621, 0.000).

As for the total energy: -3.46 eV/atom. The crystal system is tetragonal. The formation enthalpy at 0 K comes out at -0.16 eV per atom.



No. 3
# YAl2Zn

YAl2Zn after structural relaxation (PBE-GGA, the Alexandria database).

The space group is Pmm2 (No. 25) and the conventional cell measures 3.343, 4.539 and 5.465 Å, with angles of 90.00, 90.00 and 90.00 degrees. The inequivalent atoms are Y at (0.000, 0.000, 0.000), Al at (0.500, 0.000, 0.503), Al at (0.500, 0.500, 0.243) and Zn at (0.500, 0.500, 0.753).

As for the total energy: -4.04 eV/atom. The crystal system is orthorhombic. The formation enthalpy at 0 K comes out at -0.23 eV per atom.



No. 4
# YAlZn2

YAlZn2 after structural relaxation (PBE-GGA, the Alexandria database).

The space group is Cmcm (No. 63) and the conventional cell measures 4.456, 10.394 and 6.526 Å, with angles of 90.00, 90.00 and 90.00 degrees. The inequivalent atoms are Y at (0.000, 0.096, 0.250), Al at (0.000, 0.198, 0.750) and Zn at (0.000, 0.381, 0.055).

The excess energy over the best structure of this formula in the dataset comes out at 0 meV/atom. As for the total energy: -3.60 eV/atom. The crystal system is orthorhombic. The formation enthalpy at 0 K comes out at -0.41 eV per atom.



No. 5
# Y2AlZn5

Y2AlZn5 after structural relaxation (PBE-GGA, the Alexandria database).

The space group is Cmcm (No. 63) and the conventional cell measures 4.329, 15.947 and 8.908 Å, with angles of 90.00, 90.00 and 90.00 degrees. The inequivalent atoms are Y at (0.000, 0.000, 0.000), Y at (0.000, 0.200, 0.250), Al at (0.000, 0.446, 0.750), Zn at (0.000, 0.189, 0.607), Zn at (0.000, 0.352, 0.522) and Zn at (0.000, 0.398, 0.250).

As for the total energy: -3.25 eV/atom. The crystal system is orthorhombic. The formation enthalpy at 0 K comes out at -0.37 eV per atom.



No. 6
# Y2AlZn

Y2AlZn after structural relaxation (PBE-GGA, the Alexandria database).

The space group is Fm-3m (No. 225) and the conventional cell measures 7.202, 7.202 and 7.202 Å, with angles of 90.00, 90.00 and 90.00 degrees. The inequivalent atoms are Y at (0.250, 0.250, 0.250), Al at (0.000, 0.000, 0.000) and Zn at (0.000, 0.000, 0.500).

The excess energy over the best structure of this formula in the dataset comes out at 0 meV/atom. As for the total energy: -4.89 eV/atom. The crystal system is cubic. The formation enthalpy at 0 K comes out at -0.40 eV per atom.



No. 7
# YAl2Zn2

YAl2Zn2 after structural relaxation (PBE-GGA, the Alexandria database).

The space group is P-3m1 (No. 164) and the conventional cell measures 4.4544, 4.4544 and 6.0900 Å, with angles of 90.00, 90.00 and 120.00 degrees. The inequivalent atoms are Y at (0.0000, 0.0000, 0.0000), Al at (0.3333, 0.6667, 0.6865) and Zn at (0.3333, 0.6667, 0.2501).

As for the total energy: -3.40 eV/atom. The crystal system is trigonal. The formation enthalpy at 0 K comes out at -0.10 eV per atom.



No. 8
# Y2AlZn2

Y2AlZn2 after structural relaxation (PBE-GGA, the Alexandria database).

The space group is P4/mbm (No. 127) and the conventional cell measures 8.106, 8.106 and 3.651 Å, with angles of 90.00, 90.00 and 90.00 degrees. The inequivalent atoms are Y at (0.160, 0.340, 0.000), Al at (0.000, 0.000, 0.000) and Zn at (0.137, 0.637, 0.500).

As for the total energy: -3.88 eV/atom. The crystal system is tetragonal. The formation enthalpy at 0 K comes out at -0.03 eV per atom.



No. 9
# YAl2Zn10

YAl2Zn10 after structural relaxation (PBE-GGA, the Alexandria database).

The space group is P-1 (No. 2) and the conventional cell measures 5.402, 6.775 and 6.787 Å, with angles of 81.19, 66.75 and 67.08 degrees. The inequivalent atoms are Y at (0.000, 0.000, 0.000), Al at (0.000, 0.000, 0.500), Al at (0.500, 0.000, 0.500), Zn at (0.000, 0.500, 0.000), Zn at (0.001, 0.355, 0.647), Zn at (0.283, 0.217, 0.213), Zn at (0.354, 0.645, 0.646), Zn at (0.497, 0.218, 0.787) and Zn at (0.500, 0.500, 0.000).

As for the total energy: -2.21 eV/atom. The crystal system is triclinic. The formation enthalpy at 0 K comes out at -0.15 eV per atom.



No. 10
# YAl2Zn

YAl2Zn after structural relaxation (PBE-GGA, the Alexandria database).

The space group is I4/mmm (No. 139) and the conventional cell measures 4.205, 4.205 and 9.237 Å, with angles of 90.00, 90.00 and 90.00 degrees. The inequivalent atoms are Y at (0.000, 0.000, 0.000), Al at (0.000, 0.500, 0.250) and Zn at (0.000, 0.000, 0.500).

As for the total energy: -3.99 eV/atom. The crystal system is tetragonal. The formation enthalpy at 0 K comes out at -0.19 eV per atom.



No. 11
# YAlZn3

YAlZn3 after structural relaxation (PBE-GGA, the Alexandria database).

The space group is Cm (No. 8) and the conventional cell measures 5.952, 5.973 and 5.986 Å, with angles of 90.00, 119.29 and 90.00 degrees. The inequivalent atoms are Y at (0.000, 0.000, 0.000), Al at (0.115, 0.500, 0.232), Zn at (0.002, 0.247, 0.505) and Zn at (0.384, 0.000, 0.767).

The excess energy over the best structure of this formula in the dataset comes out at 0 meV/atom. As for the total energy: -3.14 eV/atom. The crystal system is monoclinic. The formation enthalpy at 0 K comes out at -0.33 eV per atom.



No. 12
# YZrAlZn

YZrAlZn after structural relaxation (PBE-GGA, the Alexandria database).

The space group is F-43m (No. 216) and the conventional cell measures 6.943, 6.943 and 6.943 Å, with angles of 90.00, 90.00 and 90.00 degrees. The inequivalent atoms are Y at (0.000, 0.000, 0.000), Zr at (0.000, 0.000, 0.500), Al at (0.250, 0.250, 0.750) and Zn at (0.250, 0.250, 0.250).

As for the total energy: -5.32 eV/atom. The crystal system is cubic. The formation enthalpy at 0 K comes out at -0.32 eV per atom.



Q: Among the records above, which one has the highest formation enthalpy at 0 K?
A: number 8



Q: Look up the formation enthalpy at 0 K of the eleventh one.
A: -0.33 eV per atom



Q: The lowest formation enthalpy at 0 K belongs to which entry?
A: YAlZn2